[1]
# Mg2MnCl | Alexandria via LeMat-Bulk | PBE | relaxed
# Raw total energy = -29.18 eV for the cell shown
# Energy relative to the lowest polymorph listed for this composition = 0.84 eV per formula unit
# Uncorrected formation energy = -0.096 eV per atom
data_Mg2MnCl
_chemical_formula_sum 'Mg4 Mn2 Cl2'
_cell_length_a 3.360
_cell_length_b 5.426
_cell_length_c 8.830
_cell_angle_alpha 90.00
_cell_angle_beta 90.00
_cell_angle_gamma 90.00
_symmetry_space_group_name_H-M 'C m m 2'
_symmetry_Int_Tables_number 35
loop_
_symmetry_equiv_pos_as_xyz
'x,y,z'
'-x,-y,z'
'-x,y,z'
'x,-y,z'
'x+1/2,y+1/2,z'
'-x+1/2,-y+1/2,z'
'-x+1/2,y+1/2,z'
'x+1/2,-y+1/2,z'
loop_
_atom_site_label
_atom_site_type_symbol
_atom_site_fract_x
_atom_site_fract_y
_atom_site_fract_z
Mg1 Mg 0.000 0.000 0.000
Mg2 Mg 0.000 0.500 0.287
Mn1 Mn 0.000 0.000 0.536
Cl1 Cl 0.000 0.500 0.767

[2]
# KZrCr | Alexandria via LeMat-Bulk | PBE | relaxed
# Raw total energy = -16.59 eV for the cell shown
# Energy relative to the lowest polymorph listed for this composition = 0.38 eV per formula unit
data_KZrCr
_chemical_formula_sum 'K1 Zr1 Cr1'
_cell_length_a 3.3131
_cell_length_b 3.3131
_cell_length_c 8.5491
_cell_angle_alpha 90.00
_cell_angle_beta 90.00
_cell_angle_gamma 120.00
_symmetry_space_group_name_H-M 'P 3 m 1'
_symmetry_Int_Tables_number 156
loop_
_symmetry_equiv_pos_as_xyz
'x,y,z'
'-y,x-y,z'
'-x+y,-x,z'
'-y,-x,z'
'-x+y,y,z'
'x,x-y,z'
loop_
_atom_site_label
_atom_site_type_symbol
_atom_site_fract_x
_atom_site_fract_y
_atom_site_fract_z
K1 K 0.0000 0.0000 0.0000
Zr1 Zr 0.6667 0.3333 0.4044
Cr1 Cr 0.3333 0.6667 0.6394

[3]
# In2BrF | Alexandria via LeMat-Bulk | PBE | relaxed
# Raw total energy = -54.29 eV for the cell shown
# Energy relative to the lowest polymorph listed for this composition = 0.00 eV per formula unit
# Uncorrected formation energy = -1.138 eV per atom
data_In2BrF
_chemical_formula_sum 'In8 Br4 F4'
_cell_length_a 6.653
_cell_length_b 6.409
_cell_length_c 12.246
_cell_angle_alpha 90.00
_cell_angle_beta 110.71
_cell_angle_gamma 90.00
_symmetry_space_group_name_H-M 'P 1 2/c 1'
_symmetry_Int_Tables_number 13
loop_
_symmetry_equiv_pos_as_xyz
'x,y,z'
'-x,-y,-z'
'-x,y,-z+1/2'
'x,-y,z+1/2'
loop_
_atom_site_label
_atom_site_type_symbol
_atom_site_fract_x
_atom_site_fract_y
_atom_site_fract_z
In1 In 0.052 0.239 0.086
In2 In 0.313 0.280 0.835
Br1 Br 0.459 0.260 0.398
F1 F 0.015 0.398 0.898

[4]
# ErTe3 | Alexandria via LeMat-Bulk | PBE | relaxed
# Raw total energy = -64.86 eV for the cell shown
# Uncorrected formation energy = -0.557 eV per atom
data_ErTe3
_chemical_formula_sum 'Er4 Te12'
_cell_length_a 4.147
_cell_length_b 28.614
_cell_length_c 4.423
_cell_angle_alpha 90.00
_cell_angle_beta 90.00
_cell_angle_gamma 90.00
_symmetry_space_group_name_H-M 'C m c m'
_symmetry_Int_Tables_number 63
_symmetry_space_group_name_Hall '-C 2c 2'
loop_
_atom_site_label
_atom_site_type_symbol
_atom_site_fract_x
_atom_site_fract_y
_atom_site_fract_z
Er1 Er 0.000 0.051 0.250
Te1 Te 0.000 0.162 0.250
Te2 Te 0.000 0.316 0.250
Te3 Te 0.000 0.446 0.250

[5]
# NiSe2Br | Alexandria via LeMat-Bulk | PBE | relaxed
# Raw total energy = -56.51 eV for the cell shown
# Energy relative to the lowest polymorph listed for this composition = 1.25 eV per formula unit
# Uncorrected formation energy = 0.074 eV per atom
data_NiSe2Br
_chemical_formula_sum 'Ni4 Se8 Br4'
_cell_length_a 5.362
_cell_length_b 5.362
_cell_length_c 11.420
_cell_angle_alpha 90.00
_cell_angle_beta 90.00
_cell_angle_gamma 90.00
_symmetry_space_group_name_H-M 'I 41/a m d'
_symmetry_Int_Tables_number 141
loop_
_symmetry_equiv_pos_as_xyz
'x,y,z'
'-x,-y,-z'
'-y+1/4,x+3/4,z+1/4'
'y+1/4,-x+3/4,-z+1/4'
'-x+1/2,-y,z+1/2'
'x+1/2,y,-z+1/2'
'y+1/4,-x+1/4,z+3/4'
'-y+1/4,x+1/4,-z+3/4'
'x,-y,-z'
'-x,y,z'
'-y+1/4,-x+1/4,-z+3/4'
'y+1/4,x+1/4,z+3/4'
'-x+1/2,y,-z+1/2'
'x+1/2,-y,z+1/2'
'y+1/4,x+3/4,-z+1/4'
'-y+1/4,-x+3/4,z+1/4'
'x+1/2,y+1/2,z+1/2'
'-x+1/2,-y+1/2,-z+1/2'
'-y+3/4,x+1/4,z+3/4'
'y+3/4,-x+1/4,-z+3/4'
'-x,-y+1/2,z'
'x,y+1/2,-z'
'y+3/4,-x+3/4,z+1/4'
'-y+3/4,x+3/4,-z+1/4'
'x+1/2,-y+1/2,-z+1/2'
'-x+1/2,y+1/2,z+1/2'
'-y+3/4,-x+3/4,-z+1/4'
'y+3/4,x+3/4,z+1/4'
'-x,y+1/2,-z'
'x,-y+1/2,z'
'y+3/4,x+1/4,-z+3/4'
'-y+3/4,-x+1/4,z+3/4'
loop_
_atom_site_label
_atom_site_type_symbol
_atom_site_fract_x
_atom_site_fract_y
_atom_site_fract_z
Ni1 Ni 0.000 0.250 0.375
Se1 Se 0.000 0.250 0.171
Br1 Br 0.000 0.250 0.875

[6]
# Na3In3Hg8 | Alexandria via LeMat-Bulk | PBE | relaxed
# Raw total energy = -32.52 eV for the cell shown
# Energy relative to the lowest polymorph listed for this composition = 0.03 eV per formula unit
data_Na3In3Hg8
_chemical_formula_sum 'Na6 In6 Hg16'
_cell_length_a 5.045
_cell_length_b 11.143
_cell_length_c 13.535
_cell_angle_alpha 90.00
_cell_angle_beta 90.00
_cell_angle_gamma 90.00
_symmetry_space_group_name_H-M 'I m m m'
_symmetry_Int_Tables_number 71
_symmetry_space_group_name_Hall '-I 2 2'
loop_
_atom_site_label
_atom_site_type_symbol
_atom_site_fract_x
_atom_site_fract_y
_atom_site_fract_z
Na1 Na 0.000 0.000 0.000
Na2 Na 0.000 0.000 0.278
In1 In 0.000 0.164 0.500
In2 In 0.000 0.500 0.000
Hg1 Hg 0.000 0.279 0.144
Hg2 Hg 0.000 0.371 0.357

So what do the calculations give for density of states at the Fermi level? Going down the list: 0.530 1.018 0.000 0.548 0.472 0.305 states/eV/atom.